Entry from Alexandria: a relaxed structure of Sm6C2O (PBE-GGA).

Calculated values
Energy relative to the elements, uncorrected in eV/f.u.: -6.34
SG: C2/m
VASP energy in eV/atom: -6.45
Calculated density in kg/m3: 7238

Lattice parameters (Å, degrees): 8.353 8.353 7.539 105.88 105.88 25.35
Positions (direct):
1 Sm 0.006 0.006 0.234
2 Sm 0.328 0.328 0.433
3 Sm 0.340 0.340 0.902
4 Sm 0.660 0.660 0.098
5 Sm 0.672 0.672 0.567
6 Sm 0.994 0.994 0.766
7 C 0.164 0.164 0.327
8 C 0.836 0.836 0.673
9 O 0.500 0.500 0.000

---

Entry from Alexandria: a relaxed structure of TbSmCO (PBE-GGA).

Calculated values
Energy relative to the elements, uncorrected in eV/f.u.: -4.66
SG: Imm2
VASP energy in eV/atom: -7.05
Calculated density in kg/m3: 8660

Lattice parameters (Å, degrees): 3.210 3.313 12.164 90.00 90.00 90.00
Positions (direct):
1 Tb 0.000 0.000 0.000
2 Tb 0.500 0.500 0.500
3 Sm 0.000 0.500 0.748
4 Sm 0.500 0.000 0.248
5 C 0.000 0.000 0.591
6 C 0.500 0.500 0.091
7 O 0.000 0.500 0.338
8 O 0.500 0.000 0.838

---

Entry from Alexandria: a relaxed structure of Sm3TeCO (PBE-GGA).

Calculated values
Energy relative to the elements, uncorrected in eV/f.u.: -9.05
SG: P2_1/m
VASP energy in eV/atom: -6.76
Calculated density in kg/m3: 7079

Lattice parameters (Å, degrees): 8.432 3.956 8.907 90.00 106.67 90.00
Positions (direct):
1 Sm 0.044 0.250 0.355
2 Sm 0.307 0.250 0.954
3 Sm 0.367 0.750 0.640
4 Sm 0.633 0.250 0.360
5 Sm 0.693 0.750 0.046
6 Sm 0.956 0.750 0.645
7 Te 0.302 0.750 0.261
8 Te 0.698 0.250 0.739
9 C 0.168 0.250 0.643
10 C 0.832 0.750 0.357
11 O 0.412 0.750 0.904
12 O 0.588 0.250 0.096

---

Entry from Alexandria: a relaxed structure of SmThCO (PBE-GGA).

Calculated values
Energy relative to the elements, uncorrected in eV/f.u.: -6.43
SG: R3m
VASP energy in eV/atom: -8.19
Calculated density in kg/m3: 9754

Lattice parameters (Å, degrees): 3.695 3.695 17.725 90.00 90.00 120.00
Positions (direct):
1 Sm 0.000 0.000 0.000
2 Sm 0.333 0.667 0.667
3 Sm 0.667 0.333 0.333
4 Th 0.000 0.000 0.503
5 Th 0.333 0.667 0.170
6 Th 0.667 0.333 0.837
7 C 0.000 0.000 0.249
8 C 0.333 0.667 0.915
9 C 0.667 0.333 0.582
10 O 0.000 0.000 0.754
11 O 0.333 0.667 0.421
12 O 0.667 0.333 0.087

---

Entry from Alexandria: a relaxed structure of SmYCO (PBE-GGA).

Calculated values
Energy relative to the elements, uncorrected in eV/f.u.: -4.67
SG: Imm2
VASP energy in eV/atom: -7.51
Calculated density in kg/m3: 6884

Lattice parameters (Å, degrees): 3.201 3.320 12.136 90.00 90.00 90.00
Positions (direct):
1 Sm 0.000 0.000 0.000
2 Sm 0.500 0.500 0.500
3 Y 0.000 0.500 0.253
4 Y 0.500 0.000 0.753
5 C 0.000 0.500 0.843
6 C 0.500 0.000 0.343
7 O 0.000 0.000 0.591
8 O 0.500 0.500 0.091

---

Entry from Alexandria: a relaxed structure of SnCO2 (PBE-GGA).

Calculated values
Energy relative to the elements, uncorrected in eV/f.u.: 3.69
SG: R-3m
VASP energy in eV/atom: -4.86
Calculated density in kg/m3: 5608

Lattice parameters (Å, degrees): 2.928 2.928 19.463 90.00 90.00 120.00
Positions (direct):
1 Sn 0.000 0.000 0.000
2 Sn 0.333 0.667 0.667
3 Sn 0.667 0.333 0.333
4 C 0.000 0.000 0.500
5 C 0.333 0.667 0.167
6 C 0.667 0.333 0.833
7 O 0.000 0.000 0.119
8 O 0.000 0.000 0.881
9 O 0.333 0.667 0.547
10 O 0.333 0.667 0.786
11 O 0.667 0.333 0.214
12 O 0.667 0.333 0.453

---

Entry from Alexandria: a relaxed structure of Sn2CO (PBE-GGA).

Calculated values
Energy relative to the elements, uncorrected in eV/f.u.: 2.96
SG: Fm-3m
VASP energy in eV/atom: -4.81
Calculated density in kg/m3: 7547

Lattice parameters (Å, degrees): 6.159 6.159 6.159 90.00 90.00 90.00
Positions (direct):
1 Sn 0.250 0.250 0.250
2 Sn 0.250 0.250 0.750
3 Sn 0.250 0.750 0.250
4 Sn 0.250 0.750 0.750
5 Sn 0.750 0.250 0.250
6 Sn 0.750 0.250 0.750
7 Sn 0.750 0.750 0.250
8 Sn 0.750 0.750 0.750
9 C 0.000 0.000 0.000
10 C 0.000 0.500 0.500
11 C 0.500 0.000 0.500
12 C 0.500 0.500 0.000
13 O 0.000 0.000 0.500
14 O 0.000 0.500 0.000
15 O 0.500 0.000 0.000
16 O 0.500 0.500 0.500

---

Entry from Alexandria: a relaxed structure of Sn2CO (PBE-GGA).

Calculated values
Energy relative to the elements, uncorrected in eV/f.u.: 0.75
SG: I-42d
VASP energy in eV/atom: -5.36
Calculated density in kg/m3: 6162

Lattice parameters (Å, degrees): 5.251 5.251 10.374 90.00 90.00 90.00
Positions (direct):
1 Sn 0.241 0.250 0.125
2 Sn 0.250 0.741 0.375
3 Sn 0.250 0.759 0.875
4 Sn 0.259 0.250 0.625
5 Sn 0.741 0.750 0.625
6 Sn 0.750 0.241 0.875
7 Sn 0.750 0.259 0.375
8 Sn 0.759 0.750 0.125
9 C 0.000 0.000 0.000
10 C 0.000 0.500 0.250
11 C 0.500 0.000 0.750
12 C 0.500 0.500 0.500
13 O 0.000 0.000 0.500
14 O 0.000 0.500 0.750
15 O 0.500 0.000 0.250
16 O 0.500 0.500 0.000

---

Entry from Alexandria: a relaxed structure of SnCO2 (PBE-GGA).

Calculated values
Energy relative to the elements, uncorrected in eV/f.u.: 4.07
SG: Fm-3m
VASP energy in eV/atom: -4.77
Calculated density in kg/m3: 6422

Lattice parameters (Å, degrees): 5.521 5.521 5.521 90.00 90.00 90.00
Positions (direct):
1 Sn 0.000 0.000 0.000
2 Sn 0.000 0.500 0.500
3 Sn 0.500 0.000 0.500
4 Sn 0.500 0.500 0.000
5 C 0.000 0.000 0.500
6 C 0.000 0.500 0.000
7 C 0.500 0.000 0.000
8 C 0.500 0.500 0.500
9 O 0.250 0.250 0.250
10 O 0.250 0.250 0.750
11 O 0.250 0.750 0.250
12 O 0.250 0.750 0.750
13 O 0.750 0.250 0.250
14 O 0.750 0.250 0.750
15 O 0.750 0.750 0.250
16 O 0.750 0.750 0.750

---

Entry from Alexandria: a relaxed structure of SnCO2 (PBE-GGA).

Calculated values
Energy relative to the elements, uncorrected in eV/f.u.: 2.07
SG: Fd-3m
VASP energy in eV/atom: -5.27
Calculated density in kg/m3: 5577

Lattice parameters (Å, degrees): 5.156 5.156 5.156 60.00 60.00 60.00
Positions (direct):
1 Sn 0.125 0.125 0.125
2 Sn 0.875 0.875 0.875
3 C 0.375 0.375 0.375
4 C 0.625 0.625 0.625
5 O 0.000 0.500 0.500
6 O 0.500 0.000 0.500
7 O 0.500 0.500 0.000
8 O 0.500 0.500 0.500

---

Entry from Alexandria: a relaxed structure of SnCO2 (PBE-GGA).

Calculated values
Energy relative to the elements, uncorrected in eV/f.u.: -2.90
SG: R-3m
VASP energy in eV/atom: -6.51
Calculated density in kg/m3: 3512

Lattice parameters (Å, degrees): 3.138 3.138 27.064 90.00 90.00 120.00
Positions (direct):
1 Sn 0.000 0.000 0.000
2 Sn 0.333 0.667 0.667
3 Sn 0.667 0.333 0.333
4 C 0.000 0.000 0.500
5 C 0.333 0.667 0.167
6 C 0.667 0.333 0.833
7 O 0.000 0.000 0.457
8 O 0.000 0.000 0.543
9 O 0.333 0.667 0.123
10 O 0.333 0.667 0.210
11 O 0.667 0.333 0.790
12 O 0.667 0.333 0.877

---

Entry from Alexandria: a relaxed structure of SrSnCO5 (PBE-GGA).

Calculated values
Energy relative to the elements, uncorrected in eV/f.u.: -13.55
SG: C2/c
VASP energy in eV/atom: -6.66
Calculated density in kg/m3: 5144

Lattice parameters (Å, degrees): 5.564 5.564 7.052 103.82 103.82 106.01
Positions (direct):
1 Sr 0.148 0.852 0.750
2 Sr 0.852 0.148 0.250
3 Sn 0.500 0.500 0.000
4 Sn 0.500 0.500 0.500
5 C 0.189 0.811 0.250
6 C 0.811 0.189 0.750
7 O 0.061 0.252 0.902
8 O 0.180 0.619 0.356
9 O 0.252 0.061 0.402
10 O 0.381 0.820 0.144
11 O 0.411 0.589 0.750
12 O 0.589 0.411 0.250
13 O 0.619 0.180 0.856
14 O 0.748 0.939 0.598
15 O 0.820 0.381 0.644
16 O 0.939 0.748 0.098

---

Entry from Alexandria: a relaxed structure of TlSnC2O6 (PBE-GGA).

Calculated values
Energy relative to the elements, uncorrected in eV/f.u.: -12.33
SG: C2/c
VASP energy in eV/atom: -6.69
Calculated density in kg/m3: 4929

Lattice parameters (Å, degrees): 6.718 6.718 7.087 103.59 103.59 95.22
Positions (direct):
1 Tl 0.102 0.898 0.750
2 Tl 0.898 0.102 0.250
3 Sn 0.350 0.650 0.250
4 Sn 0.650 0.350 0.750
5 C 0.163 0.394 0.773
6 C 0.394 0.163 0.273
7 C 0.606 0.837 0.727
8 C 0.837 0.606 0.227
9 O 0.031 0.684 0.314
10 O 0.217 0.569 0.909
11 O 0.287 0.296 0.207
12 O 0.296 0.287 0.707
13 O 0.316 0.969 0.186
14 O 0.431 0.783 0.591
15 O 0.569 0.217 0.409
16 O 0.684 0.031 0.814
17 O 0.704 0.713 0.293
18 O 0.713 0.704 0.793
19 O 0.783 0.431 0.091
20 O 0.969 0.316 0.686

---

Entry from Alexandria: a relaxed structure of TlSnC2O (PBE-GGA).

Calculated values
Energy relative to the elements, uncorrected in eV/f.u.: 11.10
SG: P4/mmm
VASP energy in eV/atom: -3.74
Calculated density in kg/m3: 7517

Lattice parameters (Å, degrees): 4.264 4.264 4.412 90.00 90.00 90.00
Positions (direct):
1 Tl 0.000 0.000 0.000
2 Sn 0.500 0.500 0.000
3 C 0.000 0.500 0.500
4 C 0.500 0.000 0.500
5 O 0.000 0.000 0.500

---

Entry from Alexandria: a relaxed structure of SrCO4 (PBE-GGA).

Calculated values
Energy relative to the elements, uncorrected in eV/f.u.: -9.19
SG: P2_1/m
VASP energy in eV/atom: -6.65
Calculated density in kg/m3: 3351

Lattice parameters (Å, degrees): 4.140 5.686 7.042 90.00 101.98 90.00
Positions (direct):
1 Sr 0.190 0.250 0.286
2 Sr 0.810 0.750 0.714
3 C 0.276 0.250 0.744
4 C 0.724 0.750 0.256
5 O 0.000 0.000 0.000
6 O 0.000 0.500 0.000
7 O 0.231 0.250 0.926
8 O 0.294 0.052 0.660
9 O 0.294 0.448 0.660
10 O 0.706 0.552 0.340
11 O 0.706 0.948 0.340
12 O 0.769 0.750 0.074

---

Entry from Alexandria: a relaxed structure of SrCO3 (PBE-GGA).

Calculated values
Energy relative to the elements, uncorrected in eV/f.u.: -11.23
SG: C2/m
VASP energy in eV/atom: -7.40
Calculated density in kg/m3: 3499

Lattice parameters (Å, degrees): 4.365 4.365 8.363 108.38 108.38 72.86
Positions (direct):
1 Sr 0.000 0.000 0.000
2 Sr 0.000 0.000 0.500
3 C 0.461 0.461 0.768
4 C 0.539 0.539 0.232
5 O 0.157 0.592 0.697
6 O 0.376 0.376 0.091
7 O 0.408 0.843 0.303
8 O 0.592 0.157 0.697
9 O 0.624 0.624 0.909
10 O 0.843 0.408 0.303

---

Entry from Alexandria: a relaxed structure of Sr2CO5 (PBE-GGA).

Calculated values
Energy relative to the elements, uncorrected in eV/f.u.: -13.60
SG: Cmcm
VASP energy in eV/atom: -6.37
Calculated density in kg/m3: 3862

Lattice parameters (Å, degrees): 4.512 4.512 15.340 90.00 90.00 132.60
Positions (direct):
1 Sr 0.105 0.895 0.599
2 Sr 0.105 0.895 0.901
3 Sr 0.895 0.105 0.099
4 Sr 0.895 0.105 0.401
5 C 0.251 0.749 0.250
6 C 0.749 0.251 0.750
7 O 0.120 0.880 0.750
8 O 0.204 0.796 0.173
9 O 0.204 0.796 0.327
10 O 0.424 0.576 0.528
11 O 0.424 0.576 0.972
12 O 0.576 0.424 0.028
13 O 0.576 0.424 0.472
14 O 0.796 0.204 0.673
15 O 0.796 0.204 0.827
16 O 0.880 0.120 0.250

---

Entry from Alexandria: a relaxed structure of SrCO2 (PBE-GGA).

Calculated values
Energy relative to the elements, uncorrected in eV/f.u.: 4.40
SG: R-3m
VASP energy in eV/atom: -4.11
Calculated density in kg/m3: 4386

Lattice parameters (Å, degrees): 2.980 2.980 19.439 90.00 90.00 120.00
Positions (direct):
1 Sr 0.000 0.000 0.000
2 Sr 0.333 0.667 0.667
3 Sr 0.667 0.333 0.333
4 C 0.000 0.000 0.500
5 C 0.333 0.667 0.167
6 C 0.667 0.333 0.833
7 O 0.000 0.000 0.119
8 O 0.000 0.000 0.881
9 O 0.333 0.667 0.547
10 O 0.333 0.667 0.786
11 O 0.667 0.333 0.214
12 O 0.667 0.333 0.453

---

Entry from Alexandria: a relaxed structure of Sr3CO6 (PBE-GGA).

Calculated values
Energy relative to the elements, uncorrected in eV/f.u.: -20.31
SG: Cmc2_1
VASP energy in eV/atom: -6.43
Calculated density in kg/m3: 3977

Lattice parameters (Å, degrees): 8.338 8.338 4.626 90.00 90.00 105.61
Positions (direct):
1 Sr 0.109 0.891 0.500
2 Sr 0.182 0.435 0.465
3 Sr 0.435 0.182 0.965
4 Sr 0.565 0.818 0.465
5 Sr 0.818 0.565 0.965
6 Sr 0.891 0.109 0.000
7 C 0.288 0.712 0.936
8 C 0.712 0.288 0.436
9 O 0.123 0.645 0.833
10 O 0.164 0.175 0.732
11 O 0.175 0.164 0.232
12 O 0.283 0.717 0.237
13 O 0.355 0.877 0.833
14 O 0.389 0.611 0.845
15 O 0.611 0.389 0.345
16 O 0.645 0.123 0.333
17 O 0.717 0.283 0.737
18 O 0.825 0.836 0.732
19 O 0.836 0.825 0.232
20 O 0.877 0.355 0.333

---

Entry from Alexandria: a relaxed structure of Sr4CO7 (PBE-GGA).

Calculated values
Energy relative to the elements, uncorrected in eV/f.u.: -23.15
SG: C2/m
VASP energy in eV/atom: -6.15
Calculated density in kg/m3: 3944

Lattice parameters (Å, degrees): 6.889 6.889 8.542 127.29 127.29 40.16
Positions (direct):
1 Sr 0.098 0.098 0.292
2 Sr 0.244 0.244 0.843
3 Sr 0.756 0.756 0.157
4 Sr 0.902 0.902 0.708
5 C 0.500 0.500 0.500
6 O 0.000 0.000 0.500
7 O 0.148 0.148 0.027
8 O 0.319 0.319 0.652
9 O 0.437 0.437 0.321
10 O 0.563 0.563 0.679
11 O 0.681 0.681 0.348
12 O 0.852 0.852 0.973